LiCo3F PBE+U optimized geometry; M_tot = 6.012 μB/f.u.; energy above the lowest structure with this stoichiometry = 429 kJ/mol of formula units; V = 74 Å³ per cell; space-group type = No. 221; energy = -2.58 eV per atom
1.0
-3.415 -2.281 -0.869
2.101 -3.508 0.948
-1.241 0.336 3.996
Li Co F
1 3 1
direct
0.000 0.000 0.000
0.000 0.500 0.000
0.000 0.000 0.500
0.500 0.000 0.000
0.500 0.500 0.500